A relaxed structure of BeSbI2O, computed with PBE.

- mass density (Mg/m³) = 4.78
- uncorrected formation energy (eV per atom) = -0.576

Unit cell a=6.8635 b=6.8635 c=2.9534 alpha=90.00 beta=90.00 gamma=90.00
With the nearest neighbours (Å) after each atom.
Positions (direct):
Be: 0.0000 0.0000 0.0000  2 O 1.48
Sb: 0.5000 0.5000 0.5000  2 Sb 2.95
I: 0.0000 0.5000 0.0000  2 I 2.95
I: 0.5000 0.0000 0.0000  2 I 2.95
O: 0.0000 0.0000 0.5000  2 Be 1.48

---

A relaxed structure of BeSb2IO, computed with PBE.

- mass density (Mg/m³) = 4.95
- uncorrected formation energy (eV per atom) = 0.492

Unit cell a=4.4090 b=4.4090 c=6.8296 alpha=90.00 beta=90.00 gamma=90.00
With the nearest neighbours (Å) after each atom.
Positions (direct):
Be: 0.0000 0.0000 0.0000  4 I 3.12
Sb: 0.0000 0.5000 0.5000  2 O 2.20
Sb: 0.5000 0.0000 0.5000  2 O 2.20
I: 0.5000 0.5000 0.0000  4 Be 3.12, 2 O 3.41
O: 0.5000 0.5000 0.5000  4 Sb 2.20

---

A relaxed structure of BeSbIO2, computed with PBE.

- mass density (Mg/m³) = 6.17
- uncorrected formation energy (eV per atom) = 0.051

Unit cell a=4.0827 b=4.0827 c=4.6762 alpha=90.00 beta=90.00 gamma=90.00
With the nearest neighbours (Å) after each atom.
Positions (direct):
Be: 0.0000 0.0000 0.0000  4 O 2.04
Sb: 0.5000 0.5000 0.5000  4 I 2.89, 8 O 3.10
I: 0.0000 0.0000 0.5000  2 Be 2.34
O: 0.0000 0.5000 0.0000  2 Be 2.04
O: 0.5000 0.0000 0.0000  2 Be 2.04

---

A relaxed structure of BeSbI2O, computed with PBE.

- mass density (Mg/m³) = 5.30
- uncorrected formation energy (eV per atom) = 0.795

Unit cell a=4.9515 b=4.9515 c=5.1152 alpha=90.00 beta=90.00 gamma=90.00
With the nearest neighbours (Å) after each atom.
Positions (direct):
Be: 0.0000 0.0000 0.0000  4 I 2.48, 2 Sb 2.56
Sb: 0.0000 0.0000 0.5000  2 Be 2.56
I: 0.0000 0.5000 0.0000  2 Be 2.48
I: 0.5000 0.0000 0.0000  2 Be 2.48
O: 0.5000 0.5000 0.5000  4 Sb 3.50, 8 I 3.56

---

A relaxed structure of BeSbI2O, computed with PBE.

- mass density (Mg/m³) = 4.44
- uncorrected formation energy (eV per atom) = 0.678

Unit cell a=6.1067 b=6.1067 c=4.0145 alpha=90.00 beta=90.00 gamma=90.00
With the nearest neighbours (Å) after each atom.
Positions (direct):
Be: 0.0000 0.0000 0.0000  8 I 3.65, 2 Be 4.01
Sb: 0.5000 0.5000 0.0000  2 O 2.01
I: 0.0000 0.5000 0.5000  2 O 3.05
I: 0.5000 0.0000 0.5000  2 O 3.05
O: 0.5000 0.5000 0.5000  2 Sb 2.01

---

A relaxed structure of BeSbIO2, computed with PBE.

- mass density (Mg/m³) = 4.29
- uncorrected formation energy (eV per atom) = -0.114

Unit cell a=4.0023 b=4.0023 c=6.9995 alpha=90.00 beta=90.00 gamma=90.00
With the nearest neighbours (Å) after each atom.
Positions (direct):
Be: 0.0000 0.0000 0.0000  4 I 2.83
Sb: 0.5000 0.5000 0.5000  4 O 2.00
I: 0.5000 0.5000 0.0000  4 Be 2.83
O: 0.0000 0.5000 0.5000  2 Sb 2.00
O: 0.5000 0.0000 0.5000  2 Sb 2.00

---

A relaxed structure of BeSbI2O, computed with PBE.

- mass density (Mg/m³) = 4.37
- uncorrected formation energy (eV per atom) = 0.277

Unit cell a=6.1022 b=6.1022 c=4.0837 alpha=90.00 beta=90.00 gamma=90.00
With the nearest neighbours (Å) after each atom.
Positions (direct):
Be: 0.0000 0.0000 0.0000  8 I 3.67, 2 Be 4.08
Sb: 0.5000 0.5000 0.5000  2 O 2.04
I: 0.0000 0.5000 0.5000  2 Sb 3.05
I: 0.5000 0.0000 0.5000  2 Sb 3.05
O: 0.5000 0.5000 0.0000  2 Sb 2.04

---

A relaxed structure of ScBeI2O, computed with PBE.

- mass density (Mg/m³) = 4.02
- uncorrected formation energy (eV per atom) = -0.673

Unit cell a=5.8748 b=5.8748 c=3.8771 alpha=90.00 beta=90.00 gamma=90.00
With the nearest neighbours (Å) after each atom.
Positions (direct):
Sc: 0.0000 0.0000 0.0000  2 O 1.94
Be: 0.5000 0.5000 0.5000  8 I 3.52, 2 Be 3.88
I: 0.0000 0.5000 0.0000  2 Sc 2.94
I: 0.5000 0.0000 0.0000  2 Sc 2.94
O: 0.0000 0.0000 0.5000  2 Sc 1.94